Tl2CuCl8: optimized geometry, PBE.

Geometry as POSCAR:
```
Tl2CuCl8
1.0
-6.587 -6.452 -1.626
1.329 -2.667 -7.070
3.738 -6.452 -1.806
Tl Cu Cl
2 1 8
direct
0.683 0.234 0.234
0.317 0.766 0.766
0.000 0.000 0.000
0.136 0.131 0.659
0.136 0.659 0.131
0.864 0.869 0.341
0.273 0.604 0.604
0.864 0.341 0.869
0.448 0.195 0.195
0.552 0.805 0.805
0.727 0.396 0.396
```

raw formation energy	-0.591	eV/atom
ΔE to the lowest computed polymorph	0.000	eV/atom